Here is a relaxed DyYHgPd crystal from Alexandria. Energies are from PBE.

For the offset from the most stable computed form, the calculation gives 36 meV/atom.

a b c (Å): 7.2396 7.2396 7.2396
angles (deg): 90.00 90.00 90.00
Space group F-43m (No. 216)
Unique sites:
Dy 0.0000 0.0000 0.0000
Y 0.0000 0.0000 0.5000
Hg 0.2500 0.2500 0.7500
Pd 0.2500 0.2500 0.2500

***

Here is a relaxed Pm3DyHg4 crystal from Alexandria. Energies are from PBE.

a b c (Å): 3.7805 3.7805 15.2427
angles (deg): 90.00 90.00 90.00
Space group P4/mmm (No. 123)
Unique sites:
Pm 0.0000 0.0000 0.0000
Pm 0.0000 0.0000 0.2532
Dy 0.0000 0.0000 0.5000
Hg 0.5000 0.5000 0.1259
Hg 0.5000 0.5000 0.3834

***

Here is a relaxed Pm2DyHg7 crystal from Alexandria. Energies are from PBE.

a b c (Å): 5.0105 5.0105 12.2978
angles (deg): 90.00 90.00 120.00
Space group P3m1 (No. 156)
Unique sites:
Pm 0.0000 0.0000 0.0000
Pm 0.3333 0.6667 0.6758
Dy 0.6667 0.3333 0.3171
Hg 0.0000 0.0000 0.2448
Hg 0.0000 0.0000 0.4987
Hg 0.0000 0.0000 0.7565
Hg 0.3333 0.6667 0.1306
Hg 0.3333 0.6667 0.4031
Hg 0.6667 0.3333 0.5817
Hg 0.6667 0.3333 0.8651

***

Here is a relaxed PmDy5Hg4 crystal from Alexandria. Energies are from PBE.

a b c (Å): 3.6899 3.6899 20.0523
angles (deg): 90.00 90.00 90.00
Space group P4/mmm (No. 123)
Unique sites:
Pm 0.0000 0.0000 0.0000
Dy 0.5000 0.5000 0.1244
Dy 0.5000 0.5000 0.3128
Dy 0.5000 0.5000 0.5000
Hg 0.0000 0.0000 0.2169
Hg 0.0000 0.0000 0.4052

***

Here is a relaxed PmDy2Hg8 crystal from Alexandria. Energies are from PBE.

For the offset from the most stable computed form, the calculation gives 0 meV/atom.

a b c (Å): 16.0764 4.9631 7.2723
angles (deg): 90.00 109.29 90.00
Space group C2/m (No. 12)
Unique sites:
Pm 0.0000 0.0000 0.0000
Dy 0.2141 0.5000 0.6539
Hg 0.0298 0.5000 0.7290
Hg 0.0975 0.0000 0.4611
Hg 0.1502 0.5000 0.1884
Hg 0.1758 0.0000 0.9046

***

Here is a relaxed PmDy2Hg4 crystal from Alexandria. Energies are from PBE.

a b c (Å): 5.1106 5.1106 26.3870
angles (deg): 90.00 90.00 120.00
Space group R-3m (No. 166, hexagonal axes)
Unique sites:
Pm 0.0000 0.0000 0.0000
Dy 0.0000 0.0000 0.2428
Hg 0.0000 0.0000 0.1271
Hg 0.0000 0.0000 0.3810

***

Here is a relaxed PmDy4Hg5 crystal from Alexandria. Energies are from PBE.

a b c (Å): 3.7349 3.7349 18.7600
angles (deg): 90.00 90.00 90.00
Space group P4/mmm (No. 123)
Unique sites:
Pm 0.0000 0.0000 0.0000
Dy 0.0000 0.0000 0.2033
Dy 0.0000 0.0000 0.4013
Hg 0.5000 0.5000 0.1073
Hg 0.5000 0.5000 0.3022
Hg 0.5000 0.5000 0.5000

***

Here is a relaxed Pm2Dy3Hg6 crystal from Alexandria. Energies are from PBE.

a b c (Å): 5.0900 5.0900 27.0131
angles (deg): 90.00 90.00 90.00
Space group I4/mmm (No. 139)
Unique sites:
Pm 0.0000 0.0000 0.1341
Dy 0.0000 0.0000 0.3669
Dy 0.0000 0.0000 0.5000
Hg 0.0000 0.0000 0.2518
Hg 0.0000 0.5000 0.0649

***

Here is a relaxed Pm2Dy3Hg7 crystal from Alexandria. Energies are from PBE.

a b c (Å): 5.2406 23.3047 5.4276
angles (deg): 90.00 90.00 90.00
Space group Cmmm (No. 65)
Unique sites:
Pm 0.0000 0.1446 0.0000
Dy 0.0000 0.3365 0.5000
Dy 0.0000 0.5000 0.5000
Hg 0.0000 0.0000 0.0000
Hg 0.0000 0.0802 0.5000
Hg 0.0000 0.2783 0.0000
Hg 0.0000 0.4267 0.0000

***

Here is a relaxed PmDy3Hg4 crystal from Alexandria. Energies are from PBE.

For the offset from the most stable computed form, the calculation gives 184 meV/atom.

a b c (Å): 14.4806 5.3071 5.9945
angles (deg): 90.00 108.66 90.00
Space group C2/m (No. 12)
Unique sites:
Pm 0.0000 0.0000 0.0000
Dy 0.0000 0.5000 0.5000
Dy 0.1719 0.5000 0.0814
Hg 0.1123 0.0000 0.6384
Hg 0.2442 0.0000 0.3324

***

Here is a relaxed PmDyHg2 crystal from Alexandria. Energies are from PBE.

For the offset from the most stable computed form, the calculation gives 156 meV/atom.

a b c (Å): 3.8310 3.8310 27.4427
angles (deg): 90.00 90.00 120.00
Space group R3m (No. 160, hexagonal axes)
Unique sites:
Pm 0.0000 0.0000 0.0000
Dy 0.0000 0.0000 0.1662
Hg 0.0000 0.0000 0.4186
Hg 0.0000 0.0000 0.5810

***

Here is a relaxed Pm3Dy4Hg crystal from Alexandria. Energies are from PBE.

a b c (Å): 3.6077 3.6077 19.1508
angles (deg): 90.00 90.00 90.00
Space group P4/mmm (No. 123)
Unique sites:
Pm 0.0000 0.0000 0.0000
Pm 0.0000 0.0000 0.2647
Dy 0.5000 0.5000 0.1325
Dy 0.5000 0.5000 0.3966
Hg 0.0000 0.0000 0.5000

***

Here is a relaxed Pm3DyHg2 crystal from Alexandria. Energies are from PBE.

For the offset from the most stable computed form, the calculation gives 258 meV/atom.

a b c (Å): 7.2537 14.8018 7.5947
angles (deg): 90.00 90.00 90.00
Space group Ibam (No. 72)
Unique sites:
Pm 0.0000 0.0000 0.2500
Pm 0.0000 0.2724 0.2500
Dy 0.0000 0.5000 0.0000
Hg 0.2021 0.1378 0.0000

***

Number 1: DFT formation energy -2.61 eV per formula unit. Number 2: DFT formation energy -3.80 eV per formula unit. Number 3: DFT formation energy -3.09 eV per formula unit. Number 4: DFT formation energy -3.78 eV per formula unit. Number 5: DFT formation energy -3.59 eV per formula unit. Number 6: DFT formation energy -2.30 eV per formula unit. Number 7: DFT formation energy -4.79 eV per formula unit. Number 8: DFT formation energy -1.23 eV per formula unit. Number 9: DFT formation energy -3.59 eV per formula unit. Number 10: DFT formation energy -2.34 eV per formula unit. Number 11: DFT formation energy -1.29 eV per formula unit. Number 12: DFT formation energy -0.88 eV per formula unit. Number 13: DFT formation energy -0.47 eV per formula unit.